Entry 1:
The following is a GGA-PBE calculation of LaY2Ir2 after structural relaxation, from Alexandria.

```
LaY2Ir2
1.0
4.5554 0.0000 0.0000
0.0000 4.5554 0.0000
2.2777 2.2777 6.1233
Ir Y La
2 2 1
Cartesian
4.5554 4.5554 4.8351
2.2777 2.2777 1.2882
2.2777 4.5554 3.0616
4.5554 2.2777 3.0616
0.0000 0.0000 0.0000
```

Output
- volume (Å³ per atom) = 25.4
- mass density (g cm⁻³) = 9.16
- formation enthalpy at 0 K (eV per atom) = -0.61

Entry 2:
The following is a GGA-PBE calculation of LaY2Ir after structural relaxation, from Alexandria.

```
LaY2Ir
1.0
-1.5043 1.7855 -3.1037
-4.0920 -4.7938 1.6487
-4.6862 5.9606 5.7003
La Y Ir
2 4 2
Cartesian
-4.2628 3.8683 4.2898
-6.0196 -0.9160 -0.0445
-6.1071 0.6210 3.3132
-4.1753 2.3313 0.9321
-7.8027 2.7779 5.3759
-2.4797 0.1745 -1.1305
-3.5849 -0.4534 1.4733
-6.6975 3.4057 2.7720
```

Output
- volume (Å³ per atom) = 28.6
- mass density (g cm⁻³) = 7.38
- formation enthalpy at 0 K (eV per atom) = -0.50

Entry 3:
The following is a GGA-PBE calculation of La3YIr after structural relaxation, from Alexandria.

```
La3YIr
1.0
-2.4901 3.6755 -3.2862
-0.5190 -3.8565 -3.9201
-4.9030 -1.4585 2.0839
La Ir Y
3 1 1
Cartesian
-0.2595 -1.9282 -1.9600
-1.2450 1.8377 -1.6431
-2.4515 -0.7292 1.0420
-3.9560 -0.8197 -2.5612
0.0000 0.0000 0.0000
```

Output
- volume (Å³ per atom) = 33.7
- mass density (g cm⁻³) = 6.88
- formation enthalpy at 0 K (eV per atom) = 1.17

Entry 4:
The following is a GGA-PBE calculation of LaY2Ir after structural relaxation, from Alexandria.

```
LaY2Ir
1.0
4.2593 0.0000 0.0000
0.0000 4.7730 0.0000
0.0000 0.0000 5.0704
Y Ir La
2 1 1
Cartesian
2.1296 2.3865 0.0000
0.0000 0.0000 0.0000
2.1296 0.0000 2.5352
0.0000 2.3865 2.5352
```

Output
- volume (Å³ per atom) = 25.8
- mass density (g cm⁻³) = 8.20
- formation enthalpy at 0 K (eV per atom) = -0.13

Entry 5:
The following is a GGA-PBE calculation of LaYIr3 after structural relaxation, from Alexandria.

```
LaYIr3
1.0
4.9593 0.0000 0.0000
0.0000 4.9593 0.0000
0.0000 0.0000 4.9593
La Ir Y
1 3 1
Cartesian
0.0000 0.0000 0.0000
0.0000 0.0000 2.4797
0.0000 2.4797 0.0000
2.4797 0.0000 0.0000
2.4797 2.4797 2.4797
```

Output
- volume (Å³ per atom) = 24.4
- mass density (g cm⁻³) = 10.95
- formation enthalpy at 0 K (eV per atom) = 1.02

Entry 6:
The following is a GGA-PBE calculation of La3YIr8 after structural relaxation, from Alexandria.

```
La3YIr8
1.0
5.2170 0.0020 1.5756
2.3725 4.6463 1.5756
0.0007 0.0004 9.4301
Ir La Y
8 3 1
Cartesian
4.5207 4.3604 8.6218
5.9385 2.0454 8.6218
7.1196 4.3605 9.4069
4.4975 4.3481 3.9628
3.3147 2.0301 3.1766
5.9171 2.0303 3.9628
1.4252 0.8729 4.7112
5.2187 3.1962 11.0070
2.8473 1.7439 9.4323
3.7946 2.3241 6.2936
7.5887 4.6477 3.1520
6.6402 4.0669 6.2958
```

Output
- volume (Å³ per atom) = 19.0
- mass density (g cm⁻³) = 14.85
- formation enthalpy at 0 K (eV per atom) = -0.73

Entry 7:
The following is a GGA-PBE calculation of LaY2Ir after structural relaxation, from Alexandria.

```
LaY2Ir
1.0
-6.2944 -1.0697 7.2031
-8.5262 -1.9063 4.0394
-6.2239 -4.7066 5.6354
Y Ir La
2 1 1
Cartesian
-11.1191 -4.0592 8.9177
-20.4476 -7.4647 16.3992
-5.2611 -1.9207 4.2195
-15.7833 -5.7620 12.6584
```

Output
- volume (Å³ per atom) = 31.8
- mass density (g cm⁻³) = 6.65
- formation enthalpy at 0 K (eV per atom) = -0.33

Entry 8:
The following is a GGA-PBE calculation of La4YIr after structural relaxation, from Alexandria.

```
La4YIr
1.0
2.8046 1.4169 5.5051
-1.4603 5.3856 3.0071
-3.3280 -0.1826 5.3917
Ir La Y
1 4 1
Cartesian
0.0000 0.0000 0.0000
-1.4863 5.2227 6.7116
-2.4439 2.3678 7.9342
0.7003 3.1879 7.9923
-0.7376 2.4614 5.1698
-1.4878 4.9649 10.4279
```

Output
- volume (Å³ per atom) = 30.0
- mass density (g cm⁻³) = 7.72
- formation enthalpy at 0 K (eV per atom) = 0.54

Entry 9:
The following is a GGA-PBE calculation of LaY2Ir2 after structural relaxation, from Alexandria.

```
LaY2Ir2
1.0
5.1418 0.0000 0.0000
0.0000 5.1418 0.0000
2.5709 2.5709 5.1330
Ir Y La
2 2 1
Cartesian
2.5709 5.1418 2.5665
5.1418 2.5709 2.5665
5.1418 5.1418 3.4613
2.5709 2.5709 1.6717
0.0000 0.0000 0.0000
```

Output
- volume (Å³ per atom) = 27.1
- mass density (g cm⁻³) = 8.58
- formation enthalpy at 0 K (eV per atom) = -0.23

Entry 10:
The following is a GGA-PBE calculation of LaY2Ir after structural relaxation, from Alexandria.

```
LaY2Ir
1.0
-5.8212 -1.4946 2.6087
-0.4287 -5.8923 -4.3324
4.3389 -5.2310 6.6851
Y La Ir
8 4 4
Cartesian
-2.5194 -6.1337 4.5296
-0.9224 -8.0591 6.9903
-1.7115 -1.8533 0.5574
-0.1145 -3.7787 3.0180
0.6085 -6.4842 0.4318
-1.7965 -8.8392 1.9434
-0.9886 -4.5588 -2.0288
-0.1994 -10.7646 4.4040
2.0385 -9.7750 1.2240
-2.8632 -5.4551 0.9884
-3.9495 -2.8429 3.7375
0.9523 -7.1628 3.9730
-0.0481 -5.4776 5.9410
-2.4944 -8.9968 4.7750
-1.8628 -7.1403 -0.9795
0.5834 -3.6211 0.1865
```

Output
- volume (Å³ per atom) = 28.6
- mass density (g cm⁻³) = 7.39
- formation enthalpy at 0 K (eV per atom) = -0.54

Entry 11:
The following is a GGA-PBE calculation of La3YIr2 after structural relaxation, from Alexandria.

```
La3YIr2
1.0
4.2706 0.0000 0.8870
1.7999 8.3442 2.0585
-0.0049 1.0215 10.7476
La Y Ir
6 2 4
Cartesian
5.6190 7.4823 5.1189
4.0877 6.7391 12.4918
1.2165 1.8373 4.8672
1.9779 2.6267 1.2014
0.4465 1.8834 8.5743
4.8491 7.5284 8.8260
3.3782 4.6221 5.1836
2.6874 4.7436 8.5096
1.6024 4.8652 3.0092
4.4632 4.5005 10.6839
3.0851 7.1612 6.5949
2.9805 2.2045 7.0982
```

Output
- volume (Å³ per atom) = 31.3
- mass density (g cm⁻³) = 7.87
- formation enthalpy at 0 K (eV per atom) = -0.63

Entry 12:
The following is a GGA-PBE calculation of LaYIr3 after structural relaxation, from Alexandria.

```
LaYIr3
1.0
-0.5710 4.0981 -2.8408
-2.9719 2.0164 3.5061
4.0041 2.0810 2.1972
Y Ir La
1 3 1
Cartesian
0.0000 0.0000 0.0000
-1.4859 1.0082 1.7531
-0.2855 2.0490 -1.4204
2.0020 1.0405 1.0986
0.2306 4.0977 1.4312
```

Output
- volume (Å³ per atom) = 25.3
- mass density (g cm⁻³) = 10.57
- formation enthalpy at 0 K (eV per atom) = 0.79

Entry 13:
The following is a GGA-PBE calculation of LaY2Ir after structural relaxation, from Alexandria.

```
LaY2Ir
1.0
-2.9669 -1.0093 2.5233
1.0498 -6.1467 -1.2243
3.9931 -3.7836 3.1816
Y Ir La
2 1 1
Cartesian
2.0898 -4.1146 0.8113
0.4317 -0.8505 0.1673
-0.2227 -2.9872 1.7510
2.2988 -7.9524 2.7296
```

Output
- volume (Å³ per atom) = 33.0
- mass density (g cm⁻³) = 6.40
- formation enthalpy at 0 K (eV per atom) = -0.35

Entry 14:
The following is a GGA-PBE calculation of LaY2Ir after structural relaxation, from Alexandria.

```
LaY2Ir
1.0
-3.5347 3.2983 3.9242
-5.8253 -1.7717 1.3036
5.7191 -2.4487 -0.2613
Y Ir La
2 1 1
Cartesian
-4.6800 0.7633 2.6139
0.0000 0.0000 0.0000
-2.3931 -1.7286 1.8281
-1.2478 0.8064 3.1384
```

Output
- volume (Å³ per atom) = 25.6
- mass density (g cm⁻³) = 8.25
- formation enthalpy at 0 K (eV per atom) = -0.09

Entry 15:
The following is a GGA-PBE calculation of LaYIr4 after structural relaxation, from Alexandria.

```
LaYIr4
1.0
5.4231 0.0000 0.0000
2.7116 4.6966 0.0000
2.7116 1.5655 4.4280
Ir Y La
4 1 1
Cartesian
6.7817 3.9154 2.7686
5.4231 3.1311 0.5501
4.0646 3.9154 2.7686
5.4231 1.5623 2.7686
0.0000 0.0000 0.0000
2.7116 1.5655 1.1070
```

Output
- volume (Å³ per atom) = 18.8
- mass density (g cm⁻³) = 14.67
- formation enthalpy at 0 K (eV per atom) = -0.74

Entry 16:
The following is a GGA-PBE calculation of LaY2Ir after structural relaxation, from Alexandria.

```
LaY2Ir
1.0
-0.1375 6.8360 6.8326
-3.8903 6.8692 5.5781
-2.7255 4.2075 8.2646
Y La Ir
2 1 1
Cartesian
-6.7284 17.8468 20.5993
-1.5245 4.0437 4.6674
-5.2444 13.9106 16.0559
-3.3858 8.9806 10.3656
```

Output
- volume (Å³ per atom) = 31.8
- mass density (g cm⁻³) = 6.64
- formation enthalpy at 0 K (eV per atom) = -0.29

Entry 17:
The following is a GGA-PBE calculation of LaY2Ir after structural relaxation, from Alexandria.

```
LaY2Ir
1.0
6.1320 0.0000 0.0000
3.0126 5.3409 0.0000
-4.5723 -2.6705 3.0926
Y Ir La
2 1 1
Cartesian
0.0000 0.0000 0.0000
1.5063 2.6705 1.5463
4.5723 2.6705 0.0000
3.0660 0.0000 1.5463
```

Output
- volume (Å³ per atom) = 25.3
- mass density (g cm⁻³) = 8.34
- formation enthalpy at 0 K (eV per atom) = -0.08

Entry 18:
The following is a GGA-PBE calculation of LaY2Ir after structural relaxation, from Alexandria.

```
LaY2Ir
1.0
3.5575 0.0000 0.0000
0.0000 3.5575 0.0000
0.0000 0.0000 9.0762
Ir Y La
1 2 1
Cartesian
0.0000 0.0000 4.4367
0.0000 0.0000 0.1392
1.7788 1.7788 2.8517
1.7788 1.7788 6.1866
```

Output
- volume (Å³ per atom) = 28.7
- mass density (g cm⁻³) = 7.36
- formation enthalpy at 0 K (eV per atom) = -0.32

Entry 19:
The following is a GGA-PBE calculation of LaY2Ir after structural relaxation, from Alexandria.

```
LaY2Ir
1.0
3.7780 0.0000 0.0000
0.0000 4.2497 -0.1943
0.0000 2.4667 7.4105
La Ir Y
1 1 2
Cartesian
1.8890 4.2303 5.2067
0.0000 4.1238 2.8929
1.8890 1.9729 2.4197
0.0000 3.9973 0.1108
```

Output
- volume (Å³ per atom) = 30.2
- mass density (g cm⁻³) = 7.00
- formation enthalpy at 0 K (eV per atom) = -0.37

Entry 20:
The following is a GGA-PBE calculation of La2YIr9 after structural relaxation, from Alexandria.

```
La2YIr9
1.0
5.3582 0.0000 0.0000
2.6791 4.6403 0.0000
2.6791 1.5468 8.9462
Ir Y La
9 1 2
Cartesian
6.6836 2.3283 2.1405
6.6836 3.8588 6.8057
4.0327 3.8588 6.8057
5.3582 1.5631 6.8057
2.6791 1.5468 0.0375
5.3582 3.0935 4.4731
8.0373 4.6403 8.9086
5.3582 4.6240 2.1405
4.0327 2.3283 2.1405
0.0000 0.0000 0.0000
8.0373 4.6403 3.7428
2.6791 1.5468 5.2034
```

Output
- volume (Å³ per atom) = 18.5
- mass density (g cm⁻³) = 15.65
- formation enthalpy at 0 K (eV per atom) = -0.52